The following is a DFT calculation (meta-GGA SCAN) of a PBEsol-optimized structure of Ni6Ge2B.

Computed properties:
Formation energy from the elements, eV/atom: -0.3255

CIF file:
```
data_Ni6Ge2B
_chemical_formula_sum 'Ni6 Ge2 B1'
_symmetry_space_group_name_H-M 'P -6 2 m'
_symmetry_Int_Tables_number 189
_symmetry_space_group_name_Hall 'P -6 -2'
_cell_length_a 6.1400
_cell_length_b 6.1400
_cell_length_c 2.9004
_cell_angle_alpha 90.00
_cell_angle_beta 90.00
_cell_angle_gamma 120.00
loop_
_atom_site_label
_atom_site_type_symbol
_atom_site_fract_x
_atom_site_fract_y
_atom_site_fract_z
_atom_site_occupancy
Ni1 Ni 0.0000 0.2384 0.0000 1
Ni2 Ni 0.0000 0.6187 0.5000 1
Ge1 Ge 0.3333 0.6667 0.0000 1
B1 B 0.0000 0.0000 0.5000 1
```